(1)
# TcNi2Br

A relaxed structure of TcNi2Br (PBE, Alexandria).

The structure in POSCAR format:
```
TcNi2Br
1.0
-2.963 3.331 -1.403
-4.094 -1.984 -1.072
2.692 -0.336 3.806
Br Ni Tc
1 2 1
Cartesian
-1.900 1.835 0.583
0.000 0.000 0.000
-3.528 0.674 -1.237
-2.465 -0.823 0.748
```

Computed properties:
- E_form (uncorrected): 0.92 eV per atom
- Mass density: 8.71 g cm⁻³
- Space-group type: I4/mmm (139)
- Distance to the lowest polymorph of the same formula: 49.74 kJ/mol of atoms

***

(2)
# TcNiBr

A relaxed structure of TcNiBr (PBE, Alexandria).

The structure in POSCAR format:
```
TcNiBr
1.0
2.983 0.000 0.000
0.000 2.938 0.000
0.000 0.000 5.779
Tc Ni Br
1 1 1
Cartesian
0.000 0.000 1.409
1.491 1.469 2.858
1.491 0.000 5.130
```

Computed properties:
- E_form (uncorrected): 0.57 eV per atom
- Mass density: 7.76 g cm⁻³
- Space-group type: Pmm2 (25)
- Distance to the lowest polymorph of the same formula: 52.91 kJ/mol of atoms

***

(3)
# TcNi2Br

A relaxed structure of TcNi2Br (PBE, Alexandria).

The structure in POSCAR format:
```
TcNi2Br
1.0
3.847 0.000 0.000
0.000 3.806 0.000
0.000 0.000 3.806
Br Ni Tc
1 2 1
Cartesian
1.923 0.000 1.903
0.000 0.000 0.000
0.000 1.903 1.903
1.923 1.903 0.000
```

Computed properties:
- E_form (uncorrected): 0.91 eV per atom
- Mass density: 8.80 g cm⁻³
- Space-group type: P4/mmm (123)
- Distance to the lowest polymorph of the same formula: 48.29 kJ/mol of atoms

***

(4)
# TcNiBr

A relaxed structure of TcNiBr (PBE, Alexandria).

The structure in POSCAR format:
```
TcNiBr
1.0
-0.840 -1.139 -2.647
-1.376 -0.880 2.518
-4.151 4.599 -0.661
Tc Ni Br
1 1 1
Cartesian
-2.194 0.138 0.637
-2.218 2.457 -0.353
-4.733 2.950 0.233
```

Computed properties:
- E_form (uncorrected): 0.61 eV per atom
- Mass density: 8.08 g cm⁻³
- Space-group type: P3m1 (156)
- Distance to the lowest polymorph of the same formula: 57.05 kJ/mol of atoms